A geometry-optimized LiAs2N structure. Source: Alexandria, functional PBE-GGA.

The total magnetization is 0.0 μB per cell. Its total energy is -4.5383 eV/atom.

It has space group I-42d (No. 122), with a = 5.828 Å, b = 5.828 Å, c = 7.921 Å, α = 90.00°, β = 90.00° and γ = 90.00°. The inequivalent atoms are Li at (0.000, 0.000, 0.000), As at (0.174, 0.250, 0.625) and N at (0.000, 0.000, 0.500).